Entry from Alexandria: an optimized crystal structure of La2Nd3Ho2 (GGA-PBE).

Results
Energy above the lowest structure with this stoichiometry   0.1043 eV/atom

Unit cell a=17.950 b=3.570 c=8.714 alpha=90.00 beta=118.98 gamma=90.00
Space group C2/m (No. 12)
Asymmetric unit:
La (0.064, 0.000, 0.413) x4
Nd (0.000, 0.500, 0.000) x2
Nd (0.213, 0.500, 0.295) x4
Ho (0.151, 0.500, 0.839) x4

Entry from Alexandria: an optimized crystal structure of La3Nd2Ho3 (GGA-PBE).

Results
Energy above the lowest structure with this stoichiometry   0.0000 eV/atom

Unit cell a=5.090 b=5.185 c=20.792 alpha=90.00 beta=90.00 gamma=90.00
Space group Immm (No. 71)
Asymmetric unit:
La (0.000, 0.000, 0.000) x2
La (0.000, 0.500, 0.122) x4
Nd (0.000, 0.000, 0.249) x4
Ho (0.000, 0.000, 0.500) x2
Ho (0.000, 0.500, 0.374) x4

Entry from Alexandria: an optimized crystal structure of La12Nd6Ho (GGA-PBE).

Unit cell a=12.4450 b=12.4450 c=15.5531 alpha=90.00 beta=90.00 gamma=120.00
Space group R-3 (No. 148, hexagonal axes)
Asymmetric unit:
La (0.0009, 0.8294, 0.1904) x18
La (0.0479, 0.8488, 0.4169) x18
Nd (0.0158, 0.4256, 0.6875) x18
Ho (0.0000, 0.0000, 0.0000) x3

Entry from Alexandria: an optimized crystal structure of LaNd8Ho2 (GGA-PBE).

Results
Energy above the lowest structure with this stoichiometry   0.0000 eV/atom

Unit cell a=5.704 b=8.401 c=16.119 alpha=90.00 beta=90.00 gamma=90.00
Space group Immm (No. 71)
Asymmetric unit:
La (0.000, 0.000, 0.000) x2
Nd (0.000, 0.205, 0.500) x4
Nd (0.000, 0.296, 0.140) x8
Nd (0.000, 0.500, 0.337) x4
Ho (0.000, 0.000, 0.300) x4

Entry from Alexandria: an optimized crystal structure of La2Nd3Ho3 (GGA-PBE).

Results
Energy above the lowest structure with this stoichiometry   0.0961 eV/atom

Unit cell a=3.645 b=17.837 c=17.145 alpha=90.00 beta=90.00 gamma=90.00
Space group Cmcm (No. 63)
Asymmetric unit:
La (0.000, 0.217, 0.150) x8
Nd (0.000, 0.356, 0.015) x8
Nd (0.000, 0.391, 0.250) x4
Ho (0.000, 0.006, 0.101) x8
Ho (0.000, 0.423, 0.750) x4

Entry from Alexandria: an optimized crystal structure of La2Nd5Ho (GGA-PBE).

Unit cell a=7.347 b=14.733 c=5.197 alpha=90.00 beta=90.00 gamma=90.00
Space group Pbam (No. 55)
Asymmetric unit:
La (0.248, 0.124, 0.000) x4
Nd (0.000, 0.500, 0.500) x2
Nd (0.003, 0.751, 0.500) x4
Nd (0.249, 0.376, 0.000) x4
Ho (0.000, 0.000, 0.500) x2

Entry from Alexandria: an optimized crystal structure of La3Nd7Ho2 (GGA-PBE).

Results
Energy above the lowest structure with this stoichiometry   0.1699 eV/atom

Unit cell a=6.7005 b=6.7005 c=34.2770 alpha=90.00 beta=90.00 gamma=120.00
Space group R-3m (No. 166, hexagonal axes)
Asymmetric unit:
La (0.0000, 0.0000, 0.0000) x3
La (0.0000, 0.0000, 0.1522) x6
Nd (0.0000, 0.0000, 0.5000) x3
Nd (0.0036, 0.5018, 0.9166) x18
Ho (0.0000, 0.0000, 0.3339) x6

Entry from Alexandria: an optimized crystal structure of LaNd6Ho (GGA-PBE).

Unit cell a=5.189 b=5.189 c=10.392 alpha=90.00 beta=90.00 gamma=90.00
Space group P4/mmm (No. 123)
Asymmetric unit:
La (0.000, 0.000, 0.000) x1
Nd (0.000, 0.500, 0.254) x4
Nd (0.500, 0.500, 0.000) x1
Nd (0.500, 0.500, 0.500) x1
Ho (0.000, 0.000, 0.500) x1

Entry from Alexandria: an optimized crystal structure of La12NdHo6 (GGA-PBE).

Unit cell a=15.0038 b=15.0038 c=10.5098 alpha=90.00 beta=90.00 gamma=120.00
Space group R-3 (No. 148, hexagonal axes)
Asymmetric unit:
La (0.0489, 0.7926, 0.0793) x18
La (0.0641, 0.8416, 0.4196) x18
Nd (0.0000, 0.0000, 0.0000) x3
Ho (0.0502, 0.8395, 0.7594) x18

Entry from Alexandria: an optimized crystal structure of La4Nd15Ho (GGA-PBE).

Unit cell a=5.221 b=5.221 c=26.055 alpha=90.00 beta=90.00 gamma=90.00
Space group P4/mmm (No. 123)
Asymmetric unit:
La (0.000, 0.000, 0.100) x2
La (0.000, 0.000, 0.301) x2
Nd (0.000, 0.500, 0.000) x2
Nd (0.000, 0.500, 0.201) x4
Nd (0.000, 0.500, 0.402) x4
Nd (0.500, 0.500, 0.100) x2
Nd (0.500, 0.500, 0.302) x2
Nd (0.500, 0.500, 0.500) x1
Ho (0.000, 0.000, 0.500) x1

Entry from Alexandria: an optimized crystal structure of La6Nd12Ho (GGA-PBE).

Results
Energy above the lowest structure with this stoichiometry   0.1599 eV/atom

Unit cell a=16.7296 b=16.7296 c=8.6066 alpha=90.00 beta=90.00 gamma=120.00
Space group R-3m (No. 166, hexagonal axes)
Asymmetric unit:
La (0.0851, 0.1701, 0.1484) x18
Nd (0.0000, 0.3781, 0.0000) x18
Nd (0.0930, 0.5465, 0.3153) x18
Ho (0.0000, 0.0000, 0.5000) x3

Entry from Alexandria: an optimized crystal structure of La9Nd11Ho4 (GGA-PBE).

Unit cell a=16.607 b=27.627 c=3.726 alpha=90.00 beta=90.00 gamma=90.00
Space group Cmmm (No. 65)
Asymmetric unit:
La (0.000, 0.000, 0.000) x2
La (0.107, 0.222, 0.000) x8
La (0.117, 0.412, 0.000) x8
Nd (0.000, 0.122, 0.500) x4
Nd (0.000, 0.321, 0.500) x4
Nd (0.000, 0.500, 0.500) x2
Nd (0.219, 0.317, 0.500) x8
Nd (0.246, 0.000, 0.500) x4
Ho (0.170, 0.096, 0.000) x8

Entry from Alexandria: an optimized crystal structure of La2Nd6Ho3 (GGA-PBE).

Results
Energy above the lowest structure with this stoichiometry   0.2812 eV/atom

Unit cell a=5.743 b=5.743 c=24.652 alpha=90.00 beta=90.00 gamma=90.00
Space group I4/mmm (No. 139)
Asymmetric unit:
La (0.000, 0.000, 0.059) x4
Nd (0.000, 0.000, 0.202) x4
Nd (0.000, 0.500, 0.097) x8
Ho (0.000, 0.000, 0.340) x4
Ho (0.000, 0.000, 0.500) x2

Entry from Alexandria: an optimized crystal structure of La4Nd4Ho3 (GGA-PBE).

Results
Energy above the lowest structure with this stoichiometry   0.0598 eV/atom

Unit cell a=3.684 b=9.638 c=22.148 alpha=90.00 beta=90.00 gamma=90.00
Space group Immm (No. 71)
Asymmetric unit:
La (0.000, 0.168, 0.144) x8
Nd (0.000, 0.312, 0.000) x4
Nd (0.000, 0.500, 0.234) x4
Ho (0.000, 0.000, 0.397) x4
Ho (0.000, 0.500, 0.500) x2

Entry from Alexandria: an optimized crystal structure of La4Nd2Ho3 (GGA-PBE).

Results
Energy above the lowest structure with this stoichiometry   0.0000 eV/atom

Unit cell a=15.538 b=5.179 c=8.163 alpha=90.00 beta=108.64 gamma=90.00
Space group C2/m (No. 12)
Asymmetric unit:
La (0.054, 0.000, 0.333) x4
La (0.223, 0.500, 0.333) x4
Nd (0.166, 0.000, 0.000) x4
Ho (0.000, 0.500, 0.000) x2
Ho (0.111, 0.500, 0.670) x4

Entry from Alexandria: an optimized crystal structure of La8NdHo5 (GGA-PBE).

Unit cell a=8.664 b=8.717 c=8.736 alpha=112.95 beta=98.40 gamma=117.05
Space group P1 (No. 1)
Asymmetric unit:
La (0.000, 0.000, 0.000) x1
La (0.018, 0.410, 0.812) x1
La (0.387, 0.276, 0.851) x1
La (0.417, 0.000, 0.436) x1
La (0.532, 0.755, 0.055) x1
La (0.679, 0.541, 0.682) x1
La (0.801, 0.896, 0.517) x1
La (0.851, 0.275, 0.310) x1
Nd (0.483, 0.277, 0.219) x1
Ho (0.131, 0.759, 0.634) x1
Ho (0.187, 0.233, 0.466) x1
Ho (0.272, 0.532, 0.282) x1
Ho (0.619, 0.041, 0.846) x1
Ho (0.900, 0.629, 0.167) x1

Entry from Alexandria: an optimized crystal structure of La12Nd7Ho (GGA-PBE).

Results
Energy above the lowest structure with this stoichiometry   0.0000 eV/atom

Unit cell a=19.7810 b=19.7810 c=6.4566 alpha=90.00 beta=90.00 gamma=120.00
Space group R-3m (No. 166, hexagonal axes)
Asymmetric unit:
La (0.0000, 0.4073, 0.0000) x18
La (0.0962, 0.5481, 0.4782) x18
Nd (0.0000, 0.0000, 0.0000) x3
Nd (0.0841, 0.1682, 0.3000) x18
Ho (0.0000, 0.0000, 0.5000) x3

Entry from Alexandria: an optimized crystal structure of La2Nd7Ho2 (GGA-PBE).

Results
Energy above the lowest structure with this stoichiometry   0.0000 eV/atom

Unit cell a=10.329 b=11.439 c=7.131 alpha=90.00 beta=112.87 gamma=90.00
Space group C2/m (No. 12)
Asymmetric unit:
La (0.000, 0.163, 0.000) x4
Nd (0.000, 0.000, 0.500) x2
Nd (0.171, 0.252, 0.692) x8
Nd (0.174, 0.500, 0.980) x4
Ho (0.143, 0.500, 0.438) x4

Entry from Alexandria: an optimized crystal structure of La7NdHo4 (GGA-PBE).

Results
Energy above the lowest structure with this stoichiometry   0.0000 eV/atom

Unit cell a=6.427 b=7.382 c=9.084 alpha=90.00 beta=103.56 gamma=90.05
Space group P-1 (No. 2)
Asymmetric unit:
La (0.000, 0.000, 0.000) x1
La (0.222, 0.499, 0.666) x2
La (0.281, 0.751, 0.336) x2
La (0.499, 0.755, 0.996) x2
Nd (0.000, 0.500, 0.000) x1
Ho (0.218, 0.999, 0.663) x2
Ho (0.277, 0.244, 0.333) x2

Number 1: V 34.9 Å³/atom, formation enthalpy at 0 K 0.1178 eV per atom, total moment 0.00 μB per cell. Number 2: V 34.3 Å³/atom, formation enthalpy at 0 K 0.0257 eV per atom, total moment 0.00 μB per cell. Number 3: V 36.6 Å³/atom, formation enthalpy at 0 K 0.1059 eV per atom, total moment 0.01 μB per cell. Number 4: V 35.1 Å³/atom, formation enthalpy at 0 K 0.1060 eV per atom, total moment 0.00 μB per cell. Number 5: V 34.8 Å³/atom, formation enthalpy at 0 K 0.1172 eV per atom, total moment 0.00 μB per cell. Number 6: V 35.2 Å³/atom, formation enthalpy at 0 K 0.0149 eV per atom, total moment 0.00 μB per cell. Number 7: V 37.0 Å³/atom, formation enthalpy at 0 K 0.2522 eV per atom, total moment 0.00 μB per cell. Number 8: V 35.0 Å³/atom, formation enthalpy at 0 K 0.0177 eV per atom, total moment 0.00 μB per cell. Number 9: V 35.9 Å³/atom, formation enthalpy at 0 K 0.2218 eV per atom, total moment 0.00 μB per cell. Number 10: V 35.5 Å³/atom, formation enthalpy at 0 K 0.0161 eV per atom, total moment 0.00 μB per cell. Number 11: V 36.6 Å³/atom, formation enthalpy at 0 K 0.2746 eV per atom, total moment 0.04 μB per cell. Number 12: V 35.6 Å³/atom, formation enthalpy at 0 K 0.0495 eV per atom, total moment 0.69 μB per cell. Number 13: V 37.0 Å³/atom, formation enthalpy at 0 K 0.4437 eV per atom, total moment 0.00 μB per cell. Number 14: V 35.7 Å³/atom, formation enthalpy at 0 K 0.1139 eV per atom, total moment 0.00 μB per cell. Number 15: V 34.6 Å³/atom, formation enthalpy at 0 K 0.0235 eV per atom, total moment 0.00 μB per cell. Number 16: V 35.5 Å³/atom, formation enthalpy at 0 K 0.1531 eV per atom, total moment 0.00 μB per cell. Number 17: V 36.5 Å³/atom, formation enthalpy at 0 K 0.1716 eV per atom, total moment 0.00 μB per cell. Number 18: V 35.3 Å³/atom, formation enthalpy at 0 K 0.2089 eV per atom, total moment 0.02 μB per cell. Number 19: V 34.9 Å³/atom, formation enthalpy at 0 K 0.0128 eV per atom, total moment 0.00 μB per cell.